No. 1
First-principles (meta-GGA SCAN) data for a PBEsol-optimized structure of La5MgRe3O16, as listed in Alexandria.

abc: 5.6128 5.6251 10.0737
angles: 93.57 93.31 91.10
Closest atoms and distances in Å follow each position.
Fractional coordinates of all 25 atoms:
La: 0.4856 0.9716 0.7984  7 O 2.38-2.59
La: 0.9658 0.4908 0.7928  6 O 2.41-2.51
La: 0.0342 0.5092 0.2072  6 O 2.41-2.51
La: 0.5144 0.0284 0.2016  7 O 2.38-2.59
La: 0.0000 0.0000 0.5000  8 O 2.38-2.57
O: 0.2961 0.8070 0.9997  1 Re 2.00, 1 Mg 2.09
O: 0.1879 0.2859 0.9641  1 Re 1.97, 1 Mg 2.11
O: 0.7029 0.2251 0.6365  1 Re 1.94
O: 0.7039 0.1930 0.0003  1 Re 2.00, 1 Mg 2.09
O: 0.4578 0.4544 0.1973  1 Mg 2.05, 1 Re 2.05
O: 0.2173 0.6957 0.6346  1 Re 1.94
O: 0.7774 0.7820 0.3225  1 Re 1.97
O: 0.5422 0.5456 0.8027  1 Mg 2.05, 1 Re 2.05
O: 0.9291 0.9243 0.8158  1 Re 1.90
O: 0.3099 0.3038 0.4316  2 Re 2.00-2.02
O: 0.6901 0.6962 0.5684  2 Re 2.00-2.02
O: 0.2226 0.2180 0.6775  1 Re 1.97
O: 0.2971 0.7749 0.3635  1 Re 1.94
O: 0.7827 0.3043 0.3654  1 Re 1.94
O: 0.0709 0.0757 0.1842  1 Re 1.90
O: 0.8121 0.7141 0.0359  1 Re 1.97, 1 Mg 2.11
Re: 0.0000 0.0000 0.0000  6 O 1.90-2.00
Re: 0.5544 0.5541 0.3928  6 O 1.94-2.05
Re: 0.4456 0.4459 0.6072  6 O 1.94-2.05
Mg: 0.5000 0.5000 0.0000  6 O 2.05-2.11

Summary:
ΔE_f (raw) ... -2908 meV/atom
Energy ... -0.8911 hartree per atom
Magnetization ... 2.02 Bohr magnetons per cell
Symmetry ... P-1

=====

No. 2
First-principles (meta-GGA SCAN) data for a PBEsol-optimized structure of Ba3Rh, as listed in Alexandria.

abc: 4.3786 6.2342 7.5881
angles: 114.28 90.00 90.00
Closest atoms and distances in Å follow each position.
Fractional coordinates of all 4 atoms:
Ba: 0.0000 0.8521 0.2043  2 Rh 3.00
Ba: 0.0000 0.1479 0.7957  2 Rh 3.00
Ba: 0.5000 0.5000 0.5000  2 Rh 3.12
Rh: 0.5000 0.0000 0.5000  6 Ba 3.00-3.12

Summary:
Energy ... -1.4054 hartree per atom
Magnetization ... 0.07 Bohr magnetons per cell
Symmetry ... Cmmm
E_form ... -0.136 eV per atom

=====

Among the records above, which one has the highest energy?
La5MgRe3O16